Below is crystalline Fe3PN at its relaxed geometry, with properties calculated at the PBE level.

## Properties
magnetic moment = 5.635 μB/cell
symmetry = Cmcm (63)
total energy = -39.79 eV/f.u.

Structure (POSCAR):
```
Fe3PN
1.0
1.380 -5.113 0.000
1.380 5.113 0.000
0.000 0.000 6.897
P Fe N
2 6 2
direct
0.261 0.739 0.750
0.739 0.261 0.250
0.638 0.362 0.548
0.362 0.638 0.048
0.638 0.362 0.952
0.362 0.638 0.452
0.943 0.057 0.750
0.057 0.943 0.250
0.000 0.000 0.000
0.000 0.000 0.500
```